Crystalline PuBi at its relaxed geometry, computed with PBE-GGA.

Results
Raw total energy ... -9.49 eV/atom
Total magnetization ... 5.8 μB/f.u.

Cell: 3.871 3.871 3.871 Å, 90.00 90.00 90.00°
Fractional coordinates of all 2 atoms:
1 Bi 0.000 0.000 0.000
2 Pu 0.500 0.500 0.500


Crystalline NdTmNO at its relaxed geometry, computed with PBE-GGA.

Results
Raw total energy ... -7.80 eV/atom
Total magnetization ... 0.0 μB/f.u.
Offset from the most stable computed form ... 0 kJ/mol of formula units

Cell: 4.019 4.930 6.982 Å, 90.00 90.00 90.00°
Fractional coordinates of all 8 atoms:
1 O 0.500 0.939 0.801
2 Tm 0.000 0.939 0.664
3 Nd 0.500 0.939 0.164
4 Nd 0.500 0.439 0.836
5 N 0.000 0.938 0.348
6 O 0.500 0.439 0.199
7 Tm 0.000 0.439 0.336
8 N 0.000 0.438 0.652


Crystalline Nd5Zr3Ni16As12 at its relaxed geometry, computed with PBE-GGA.

Results
Raw total energy ... -6.24 eV/atom
Total magnetization ... 0.0 μB/f.u.

Cell: 12.846 12.846 4.008 Å, 90.00 90.00 120.00°
Fractional coordinates of all 36 atoms:
1 Ni 0.808 0.186 0.000
2 Nd 0.188 0.000 0.500
3 Ni 0.275 0.275 0.500
4 As 0.637 0.637 0.000
5 Ni 0.000 0.000 0.000
6 As 0.525 0.828 0.500
7 As 0.000 0.820 0.000
8 Ni 0.881 0.366 0.500
9 As 0.475 0.303 0.500
10 As 0.172 0.697 0.500
11 Ni 0.192 0.379 0.000
12 As 0.828 0.525 0.500
13 Ni 0.366 0.881 0.500
14 Nd 0.333 0.667 0.000
15 Zr 0.430 0.430 0.000
16 Ni 0.000 0.725 0.500
17 Ni 0.621 0.814 0.000
18 Zr 0.570 0.000 0.000
19 As 0.000 0.363 0.000
20 As 0.180 0.180 0.000
21 Ni 0.814 0.621 0.000
22 As 0.363 0.000 0.000
23 Zr 0.000 0.570 0.000
24 Ni 0.515 0.634 0.500
25 Nd 0.667 0.333 0.000
26 Ni 0.119 0.485 0.500
27 Ni 0.379 0.192 0.000
28 Ni 0.186 0.808 0.000
29 As 0.820 0.000 0.000
30 As 0.303 0.475 0.500
31 Nd 0.000 0.188 0.500
32 Ni 0.725 0.000 0.500
33 Nd 0.812 0.812 0.500
34 Ni 0.634 0.515 0.500
35 As 0.697 0.172 0.500
36 Ni 0.485 0.119 0.500


Crystalline LaBeCu at its relaxed geometry, computed with PBE-GGA.

Results
Raw total energy ... -3.37 eV/atom
Total magnetization ... 0.0 μB/f.u.
Offset from the most stable computed form ... 135 kJ/mol of formula units

Cell: 4.730 4.730 4.730 Å, 60.00 60.00 60.00°
Fractional coordinates of all 3 atoms:
1 Be 0.250 0.250 0.250
2 Cu 0.750 0.750 0.750
3 La 0.000 0.000 0.000


Crystalline BaTbO3 at its relaxed geometry, computed with PBE-GGA.

Results
Raw total energy ... -6.93 eV/atom
Total magnetization ... 1.0 μB/f.u.

Cell: 6.170 6.170 6.551 Å, 61.91 61.91 60.00°
Fractional coordinates of all 10 atoms:
1 O 0.809 0.015 0.725
2 O 0.015 0.452 0.725
3 Tb 0.152 0.152 0.545
4 Tb 0.848 0.848 0.455
5 O 0.191 0.985 0.275
6 O 0.985 0.548 0.275
7 Ba 0.371 0.371 0.888
8 O 0.548 0.191 0.275
9 O 0.452 0.809 0.725
10 Ba 0.629 0.629 0.112


Crystalline Zr2ZnIr at its relaxed geometry, computed with PBE-GGA.

Results
Raw total energy ... -7.11 eV/atom
Total magnetization ... 1.0 μB/f.u.
Formation enthalpy at 0 K ... -117 kJ/mol of formula units

Cell: 4.640 4.640 4.640 Å, 60.00 60.00 60.00°
Fractional coordinates of all 4 atoms:
1 Zn 0.500 0.500 0.500
2 Zr 0.000 0.000 0.000
3 Ir 0.750 0.750 0.750
4 Zr 0.250 0.250 0.250


In g/cm³, the ρ values for the records above are, in order, 12.96 8.24 8.21 4.69 6.31 10.35.